The following is a DFT calculation (PBE) of VIn2Os after structural relaxation.

- energy above the lowest structure with this stoichiometry (meV per atom) = 0
- energy (eV per atom) = -6.08
- ΔE_f (meV/atom) = 372

abc: 4.625 4.625 4.625
angles: 60.00 60.00 60.00
Positions (direct):
V1 0.000 0.000 0.000
In1 0.250 0.250 0.250
In2 0.750 0.750 0.750
Os1 0.500 0.500 0.500